An optimized crystal structure of P4SeCl, computed with PBE.

CIF file:
```
data_P4SeCl
_symmetry_space_group_name_H-M 'F -4 3 m'
_symmetry_Int_Tables_number 216
_symmetry_space_group_name_Hall 'F -4 2 3'
_cell_length_a 7.9895
_cell_length_b 7.9895
_cell_length_c 7.9895
_cell_angle_alpha 90.00
_cell_angle_beta 90.00
_cell_angle_gamma 90.00
loop_
_atom_site_label
_atom_site_type_symbol
_atom_site_fract_x
_atom_site_fract_y
_atom_site_fract_z
P1 P 0.0987 0.0987 0.4013
Se1 Se 0.0000 0.0000 0.0000
Cl1 Cl 0.2500 0.2500 0.7500
```

- DOS(E_F): 4.6 states/eV/f.u.
- Calculated volume: 127.5 Å³/f.u.
- Formation energy from raw total energies: 479 meV per atom
- Raw total energy: -4.0164 eV per atom